1.
GGA-PBE Zr6PdAu, optimized geometry; volume = 167 Å³/f.u.; space group = P-1, No. 2; distance to the lowest polymorph of the same formula = 6 meV/atom; electronic total energy = -62.33 eV/f.u.; energy of formation = -0.321 eV per atom; magnetic moment = 0.00 μB per cell
1.0
-6.1855 0.3685 4.7076
-7.0338 -1.9888 -2.6642
-3.8986 -3.5543 1.5912
Zr Pd Au
6 1 1
direct
0.9999 0.4992 0.7499
0.7511 0.0004 0.7489
0.5006 0.2490 0.2509
0.2489 0.9996 0.2511
0.0001 0.5008 0.2501
0.4994 0.7510 0.7491
0.0000 0.0000 0.0000
0.5000 0.5000 0.5000

=====

2.
GGA-PBE NdSm12Tm5, optimized geometry; volume = 590 Å³/f.u.; space group = Cmmm, No. 65; electronic total energy = -83.39 eV/f.u.; energy of formation = 0.021 eV per atom; magnetic moment = 0.00 μB per cell
1.0
-1.7533 -10.7550 -10.6085
6.6979 -5.9010 -6.0253
0.0965 -3.5775 3.6116
Nd Sm Tm
1 12 5
direct
0.0000 0.0000 0.0000
0.8330 0.0000 0.4997
0.1670 0.0000 0.5003
0.6644 0.0000 0.9998
0.3356 0.0000 0.0002
0.3336 0.6649 0.0001
0.0015 0.6649 0.0000
0.9985 0.3351 0.0001
0.6664 0.3351 0.9999
0.4984 0.3325 0.5000
0.8310 0.6675 0.5000
0.1690 0.3325 0.5000
0.5016 0.6675 0.5000
0.5000 0.0000 0.5000
0.1681 0.6639 0.5000
0.8319 0.3361 0.5000
0.6667 0.6667 0.0000
0.3333 0.3333 0.0000